(1)
The following is a DFT calculation (PBE) of crystalline LiHoCd3 at its relaxed geometry. Values from VASP.

The structure in Quantum ESPRESSO input format:
```
&SYSTEM
  ibrav = 0, nat = 10, ntyp = 3
/
ATOMIC_SPECIES
Li 6.94 Li.upf
Ho 164.93 Ho.upf
Cd 112.41 Cd.upf
CELL_PARAMETERS angstrom
5.499 0.000 0.000
0.000 5.887 -3.397
0.000 -0.001 6.797
ATOMIC_POSITIONS crystal
Li 0.000 0.000 0.000
Li 0.500 0.000 0.000
Ho 0.250 0.333 0.667
Ho 0.750 0.667 0.333
Cd 0.250 0.812 0.188
Cd 0.750 0.188 0.812
Cd 0.250 0.812 0.624
Cd 0.750 0.188 0.376
Cd 0.250 0.376 0.188
Cd 0.750 0.624 0.812
```



(2)
The following is a DFT calculation (PBE) of crystalline LiHoMgCd at its relaxed geometry. Values from VASP.

The structure in Quantum ESPRESSO input format:
```
&SYSTEM
  ibrav = 0, nat = 4, ntyp = 4
/
ATOMIC_SPECIES
Mg 24.30 Mg.upf
Li 6.94 Li.upf
Ho 164.93 Ho.upf
Cd 112.41 Cd.upf
CELL_PARAMETERS angstrom
5.012 0.000 0.000
2.506 4.341 0.000
2.506 1.447 4.092
ATOMIC_POSITIONS crystal
Mg 0.000 0.000 0.000
Li 0.750 0.750 0.750
Ho 0.500 0.500 0.500
Cd 0.250 0.250 0.250
```



(3)
The following is a DFT calculation (PBE) of crystalline Li2HoMg2Cd2 at its relaxed geometry. Values from VASP.

The structure in Quantum ESPRESSO input format:
```
&SYSTEM
  ibrav = 0, nat = 7, ntyp = 4
/
ATOMIC_SPECIES
Li 6.94 Li.upf
Ho 164.93 Ho.upf
Mg 24.30 Mg.upf
Cd 112.41 Cd.upf
CELL_PARAMETERS angstrom
4.877 0.000 0.000
-2.438 4.175 -0.410
0.000 -2.176 7.496
ATOMIC_POSITIONS crystal
Li 0.727 0.453 0.174
Li 0.273 0.547 0.826
Ho 0.000 0.000 0.000
Mg 0.145 0.291 0.431
Mg 0.855 0.709 0.569
Cd 0.579 0.159 0.747
Cd 0.421 0.841 0.253
```



(4)
The following is a DFT calculation (PBE) of crystalline LiHoMg6Cd at its relaxed geometry. Values from VASP.

The structure in Quantum ESPRESSO input format:
```
&SYSTEM
  ibrav = 0, nat = 18, ntyp = 4
/
ATOMIC_SPECIES
Li 6.94 Li.upf
Ho 164.93 Ho.upf
Mg 24.30 Mg.upf
Cd 112.41 Cd.upf
CELL_PARAMETERS angstrom
10.135 0.000 0.000
0.000 7.082 0.000
-5.067 -3.541 6.185
ATOMIC_POSITIONS crystal
Li 0.500 0.000 0.500
Li 0.000 0.000 0.500
Ho 0.035 0.785 0.070
Ho 0.965 0.215 0.930
Mg 0.257 0.507 0.514
Mg 0.696 0.946 0.392
Mg 0.884 0.162 0.239
Mg 0.355 0.577 0.239
Mg 0.355 0.162 0.239
Mg 0.884 0.577 0.239
Mg 0.743 0.493 0.486
Mg 0.304 0.054 0.608
Mg 0.116 0.838 0.761
Mg 0.645 0.423 0.761
Mg 0.645 0.838 0.761
Mg 0.116 0.423 0.761
Cd 0.500 0.500 0.000
Cd 0.500 0.000 0.000
```



(5)
The following is a DFT calculation (PBE) of crystalline NaLiHoCd at its relaxed geometry. Values from VASP.

The structure in Quantum ESPRESSO input format:
```
&SYSTEM
  ibrav = 0, nat = 4, ntyp = 4
/
ATOMIC_SPECIES
Na 22.99 Na.upf
Li 6.94 Li.upf
Ho 164.93 Ho.upf
Cd 112.41 Cd.upf
CELL_PARAMETERS angstrom
-2.399 0.992 -4.523
-2.159 -3.894 -2.715
-5.190 -0.380 -0.337
ATOMIC_POSITIONS crystal
Na 0.000 0.000 0.000
Li 0.750 0.750 0.750
Ho 0.500 0.500 0.500
Cd 0.250 0.250 0.250
```



(6)
The following is a DFT calculation (PBE) of crystalline LiNdHoCd at its relaxed geometry. Values from VASP.

The structure in Quantum ESPRESSO input format:
```
&SYSTEM
  ibrav = 0, nat = 4, ntyp = 4
/
ATOMIC_SPECIES
Li 6.94 Li.upf
Nd 144.24 Nd.upf
Ho 164.93 Ho.upf
Cd 112.41 Cd.upf
CELL_PARAMETERS angstrom
-4.174 3.253 0.651
-4.918 -2.021 0.401
-2.567 0.141 4.671
ATOMIC_POSITIONS crystal
Li 0.250 0.250 0.250
Nd 0.000 0.000 0.000
Ho 0.500 0.500 0.500
Cd 0.750 0.750 0.750
```



Formation energy list, top to bottom, in meV/atom: -170, -193, -118, 125, 54, -113